La2Tl2Cd3 | Alexandria | PBE | optimized geometry; SG = Cmmm, No. 65; ΔE_f = -205 meV per atom; distance to the lowest polymorph of the same formula = 116 meV/atom; density = 8.6 g/cm³
1.0
-2.0871 2.5420 -1.0246
-0.2792 -2.0033 -4.4015
-9.2708 -5.3237 5.6765
Cd La Tl
3 2 2
Cartesian
0.0000 0.0000 0.0000 Cd
-2.3938 -0.5444 -2.2659 Cd
-9.2433 -4.2405 2.5163 Cd
-6.8030 -5.4805 0.2604 La
-2.7470 -1.8464 1.0146 La
-5.1590 -2.4031 -1.2446 Tl
-6.4781 -2.3819 1.4950 Tl

***

LaTl3Cd | Alexandria | PBE | optimized geometry; SG = Pm-3m, No. 221; ΔE_f = 588 meV per atom; distance to the lowest polymorph of the same formula = 389 meV/atom; density = 5.9 g/cm³
1.0
-5.9572 -1.6607 -0.8408
1.8482 -5.6127 -2.0087
-0.2217 -2.1663 5.8490
Tl La Cd
3 1 1
Cartesian
-2.9786 -0.8304 -0.4204 Tl
-0.1108 -1.0831 2.9245 Tl
0.9241 -2.8064 -1.0044 Tl
0.0000 0.0000 0.0000 La
-2.1653 -4.7198 1.4998 Cd

***

La11Tl9Cd4 | Alexandria | PBE | optimized geometry; SG = Cmmm, No. 65; ΔE_f = -358 meV per atom; density = 8.6 g/cm³
1.0
-1.5212 0.0737 3.6686
-13.0879 -1.0457 -5.4059
5.8122 -12.6778 2.6648
La Tl Cd
11 9 4
Cartesian
-5.2672 -9.9351 -1.9844 La
-6.2500 -5.2541 -2.4860 La
-2.0085 -3.7885 -0.7567 La
2.6886 -10.7554 1.3309 La
1.6272 -5.2847 0.7809 La
-9.9643 -2.9681 -4.0720 La
-2.2242 -12.5492 -0.6701 La
0.0000 0.0000 0.0000 La
-1.0257 -8.4694 -0.2551 La
-8.9029 -8.4388 -3.5220 La
-5.0515 -1.1743 -2.0710 La
-0.7078 -11.0477 2.0789 Tl
-3.2212 -0.8975 0.8328 Tl
-9.6492 -5.5447 -1.7392 Tl
-8.5392 -10.9284 -1.1707 Tl
-5.5757 -12.7523 0.0947 Tl
-0.2577 -2.7214 2.0983 Tl
-4.3984 -6.8249 0.4638 Tl
0.8523 -8.1051 2.6667 Tl
-8.0891 -2.6021 -1.1514 Tl
-5.1402 -3.6207 0.0918 Cd
-7.3369 -7.7641 -0.7358 Cd
-1.4600 -5.8857 1.6633 Cd
-3.6567 -10.0291 0.8357 Cd

***

La5TlCd4 | Alexandria | PBE | optimized geometry; SG = P4/mmm, No. 123; ΔE_f = -346 meV per atom; density = 7.3 g/cm³
1.0
-2.3854 0.1268 -3.1269
-0.4538 -3.9042 0.1878
-15.6282 2.3946 12.0192
La Cd Tl
5 4 1
Cartesian
-9.2337 -0.6914 4.5401 La
-12.3351 -0.2162 6.9253 La
-3.0332 -1.6414 -0.2286 La
-15.4342 0.2587 9.3087 La
-6.1323 -1.1666 2.1549 La
-9.3712 1.4359 7.2071 Cd
-6.2570 0.9587 4.8121 Cd
-12.4460 1.9070 9.5719 Cd
-3.1822 0.4876 2.4473 Cd
0.0000 0.0000 0.0000 Tl